No. 1
The following is a PBE calculation of a relaxed structure of RbBaTmSe3, from OQMD.

Cell lengths 9.9155, 9.9155, 12.3641 Å; angles 90.00, 90.00, 154.95 degrees
Closest atoms and distances in Å follow each position.
Element x y z (fractional)
Tm 0.5000 0.5000 0.0000  6 Se 2.87-3.09
Tm 0.5000 0.5000 0.5000  6 Se 2.87-3.09
Ba 0.1111 0.8889 0.7500  4 Se 3.07-3.08
Ba 0.8889 0.1111 0.2500  4 Se 3.07-3.08
Se 0.9019 0.0981 0.4982  2 Tm 2.87, 1 Ba 3.08, 1 Rb 3.20
Se 0.0981 0.9019 0.5018  2 Tm 2.87, 1 Ba 3.08, 1 Rb 3.20
Se 0.0981 0.9019 0.9982  2 Tm 2.87, 1 Ba 3.08, 1 Rb 3.20
Se 0.5024 0.4976 0.2500  2 Ba 3.07, 2 Tm 3.09, 2 Rb 3.37
Se 0.4976 0.5024 0.7500  2 Ba 3.07, 2 Tm 3.09, 2 Rb 3.37
Se 0.9019 0.0981 0.0018  2 Tm 2.87, 1 Ba 3.08, 1 Rb 3.20
Rb 0.1362 0.8638 0.2500  4 Se 3.20-3.37
Rb 0.8638 0.1362 0.7500  4 Se 3.20-3.37

Summary:
* total moment: 0.0 μB per formula unit
* distance to the lowest polymorph of the same formula: 0.215 eV per atom

***

No. 2
The following is a PBE calculation of a relaxed structure of Gd3In2CuSnIr2, from OQMD.

Cell lengths 3.8529, 7.6223, 7.6223 Å; angles 119.90, 90.00, 90.00 degrees
Closest atoms and distances in Å follow each position.
Element x y z (fractional)
In 0.0000 0.0002 0.2549  2 Cu 2.74, 2 Ir 2.90
In 0.0000 0.2549 0.0002  2 Cu 2.74, 2 Ir 2.90
Gd 0.5000 0.4115 0.4115  4 Ir 2.99, 1 Cu 3.16, 2 Sn 3.20
Gd 0.5000 0.0006 0.5869  4 Ir 3.00-3.01, 1 Cu 3.14, 2 In 3.18
Gd 0.5000 0.5869 0.0006  4 Ir 3.00-3.01, 1 Cu 3.14, 2 In 3.18
Sn 0.0000 0.7455 0.7455  2 Cu 2.72, 2 Ir 2.87
Ir 0.0000 0.3365 0.6670  1 Sn 2.87, 2 In 2.90, 6 Gd 2.99-3.01
Ir 0.0000 0.6670 0.3365  1 Sn 2.87, 2 In 2.90, 6 Gd 2.99-3.01
Cu 0.5000 0.9969 0.9969  2 Sn 2.72, 4 In 2.74

Summary:
* total moment: 0.0 μB per formula unit
* uncorrected energy: -50.8 eV/cell

***

No. 3
The following is a PBE calculation of a relaxed structure of ZrTlCoMo, from OQMD.

Cell lengths 4.6422, 4.6422, 4.6422 Å; angles 60.00, 60.00, 60.00 degrees
Closest atoms and distances in Å follow each position.
Element x y z (fractional)
Mo 0.2500 0.2500 0.2500  4 Zr 2.84, 4 Tl 2.84
Co 0.7500 0.7500 0.7500  4 Zr 2.84, 4 Tl 2.84
Tl 0.0000 0.0000 0.0000  4 Mo 2.84, 4 Co 2.84
Zr 0.5000 0.5000 0.5000  4 Mo 2.84, 4 Co 2.84

Summary:
* total moment: 1.9 μB per formula unit
* distance to the lowest polymorph of the same formula: 0.000 eV per atom

***

No. 4
The following is a PBE calculation of a relaxed structure of PmPOsO, from OQMD.

Cell lengths 3.2392, 7.6992, 5.2632 Å; angles 90.00, 90.00, 90.00 degrees
Closest atoms and distances in Å follow each position.
Element x y z (fractional)
P 0.5000 0.0690 0.0002  2 Os 2.26
P 0.5000 0.9310 0.5002  2 Os 2.26
Pm 0.5000 0.3215 0.5002  4 O 2.49-2.51
Pm 0.5000 0.6785 0.0002  4 O 2.49-2.51
Os 0.0000 0.2734 0.0004  2 O 2.18-2.19, 2 P 2.26
Os 0.0000 0.7266 0.5004  2 O 2.18-2.19, 2 P 2.26
O 0.0000 0.5011 0.7532  2 Os 2.18-2.19
O 0.0000 0.4989 0.2532  2 Os 2.18-2.19

Summary:
* total moment: 0.0 μB per formula unit
* distance to the lowest polymorph of the same formula: 0.766 eV per atom

***

No. 5
The following is a PBE calculation of a relaxed structure of SrMgAsIr, from OQMD.

Cell lengths 4.8104, 4.8104, 4.8104 Å; angles 60.00, 60.00, 60.00 degrees
Closest atoms and distances in Å follow each position.
Element x y z (fractional)
Sr 0.5000 0.5000 0.5000  4 Mg 2.95, 4 As 2.95
Ir 0.0000 0.0000 0.0000  4 As 2.95, 4 Mg 2.95
As 0.2500 0.2500 0.2500  4 Ir 2.95, 4 Sr 2.95
Mg 0.7500 0.7500 0.7500  4 Sr 2.95, 4 Ir 2.95

Summary:
* total moment: 0.0 μB per formula unit
* distance to the lowest polymorph of the same formula: 0.000 eV per atom

***

No. 6
The following is a PBE calculation of a relaxed structure of SnPd15, from OQMD.

Cell lengths 7.8861, 43.5701, 3.9569 Å; angles 90.00, 90.00, 90.00 degrees
Closest atoms and distances in Å follow each position.
Element x y z (fractional)
Pd 0.6252 0.4332 0.5000  12 Pd 2.76-2.80
Pd 0.1234 0.2100 0.0000  1 Sn 2.72, 11 Pd 2.78-2.86
Pd 0.3786 0.2539 0.0000  12 Pd 2.75-2.86
Pd 0.6250 0.4777 0.0000  12 Pd 2.76-2.79
Pd 0.6253 0.3887 0.0000  12 Pd 2.76-2.80
Pd 0.8749 0.4777 0.5000  12 Pd 2.76-2.79
Pd 0.3750 0.4777 0.5000  12 Pd 2.76-2.79
Pd 0.1245 0.6561 0.0000  12 Pd 2.77-2.79
Pd 0.1250 0.5668 0.0000  12 Pd 2.76-2.79
Pd 0.3764 0.2997 0.5000  12 Pd 2.76-2.81
Pd 0.8755 0.3439 0.0000  12 Pd 2.77-2.79
Pd 0.3750 0.5223 0.0000  12 Pd 2.76-2.79
Pd 0.1163 0.8375 0.0000  2 Sn 2.65, 6 Pd 2.70-2.86
Pd 0.6236 0.2997 0.0000  12 Pd 2.76-2.81
Pd 0.1246 0.3886 0.0000  12 Pd 2.76-2.79
Pd 0.6250 0.5223 0.5000  12 Pd 2.76-2.79
Pd 0.8750 0.5668 0.5000  12 Pd 2.76-2.79
Pd 0.3748 0.5668 0.5000  12 Pd 2.76-2.80
Pd 0.1261 0.2992 0.0000  12 Pd 2.77-2.80
Pd 0.3775 0.7933 0.0000  9 Pd 2.77-2.87, 3 Sn 2.81-2.98
Pd 0.1246 0.6114 0.5000  12 Pd 2.76-2.79
Pd 0.8707 0.7453 0.5000  12 Pd 2.76-2.87
Pd 0.1251 0.4777 0.0000  12 Pd 2.76-2.79
Pd 0.8749 0.5223 0.0000  12 Pd 2.76-2.79
Pd 0.8739 0.7008 0.0000  12 Pd 2.77-2.80
Pd 0.1293 0.2547 0.5000  12 Pd 2.76-2.87
Pd 0.6236 0.7003 0.5000  12 Pd 2.76-2.81
Pd 0.3747 0.3887 0.5000  12 Pd 2.76-2.80
Pd 0.6225 0.2067 0.0000  9 Pd 2.77-2.87, 3 Sn 2.81-2.98
Pd 0.8750 0.4332 0.0000  12 Pd 2.76-2.79
Pd 0.1250 0.4332 0.5000  12 Pd 2.76-2.79
Pd 0.1245 0.3439 0.5000  12 Pd 2.77-2.79
Pd 0.6252 0.6557 0.0000  12 Pd 2.76-2.80
Pd 0.8766 0.2100 0.5000  1 Sn 2.72, 11 Pd 2.78-2.86
Pd 0.6252 0.5668 0.0000  12 Pd 2.76-2.80
Pd 0.6252 0.3443 0.5000  12 Pd 2.76-2.80
Pd 0.1163 0.1625 0.5000  2 Sn 2.65, 6 Pd 2.70-2.86
Pd 0.1234 0.7900 0.5000  1 Sn 2.72, 11 Pd 2.78-2.86
Pd 0.8754 0.6114 0.0000  12 Pd 2.76-2.79
Pd 0.8837 0.1625 0.0000  2 Sn 2.65, 6 Pd 2.70-2.86
Pd 0.8755 0.6561 0.5000  12 Pd 2.77-2.79
Pd 0.3764 0.7003 0.0000  12 Pd 2.76-2.81
Pd 0.6214 0.2539 0.5000  12 Pd 2.75-2.86
Pd 0.6253 0.6113 0.5000  12 Pd 2.76-2.80
Pd 0.3748 0.4332 0.0000  12 Pd 2.76-2.80
Pd 0.3748 0.3443 0.0000  12 Pd 2.76-2.80
Pd 0.3775 0.2067 0.5000  9 Pd 2.77-2.87, 3 Sn 2.81-2.98
Pd 0.3747 0.6113 0.0000  12 Pd 2.76-2.80
Pd 0.6214 0.7461 0.0000  12 Pd 2.75-2.86
Pd 0.8837 0.8375 0.5000  2 Sn 2.65, 6 Pd 2.70-2.86
Pd 0.8707 0.2547 0.0000  12 Pd 2.76-2.87
Pd 0.3748 0.6557 0.5000  12 Pd 2.76-2.80
Pd 0.8766 0.7900 0.0000  1 Sn 2.72, 11 Pd 2.78-2.86
Pd 0.1261 0.7008 0.5000  12 Pd 2.77-2.80
Pd 0.8739 0.2992 0.5000  12 Pd 2.77-2.80
Pd 0.1251 0.5223 0.5000  12 Pd 2.76-2.79
Pd 0.8754 0.3886 0.5000  12 Pd 2.76-2.79
Pd 0.6225 0.7933 0.5000  9 Pd 2.77-2.87, 3 Sn 2.81-2.98
Pd 0.1293 0.7453 0.0000  12 Pd 2.76-2.87
Pd 0.3786 0.7461 0.5000  12 Pd 2.75-2.86
Sn 0.6610 0.1614 0.5000  5 Pd 2.65-2.81
Sn 0.6610 0.8386 0.0000  5 Pd 2.65-2.81
Sn 0.3390 0.1614 0.0000  5 Pd 2.65-2.81
Sn 0.3390 0.8386 0.5000  5 Pd 2.65-2.81

Summary:
* distance to the lowest polymorph of the same formula: 0.025 eV per atom

***

No. 7
The following is a PBE calculation of a relaxed structure of NaHoTe3Au, from OQMD.

Cell lengths 7.9477, 7.9477, 11.1152 Å; angles 90.00, 90.00, 149.66 degrees
Closest atoms and distances in Å follow each position.
Element x y z (fractional)
Na 0.2257 0.7743 0.2500  6 Te 3.26-3.47
Na 0.7743 0.2257 0.7500  6 Te 3.26-3.47
Te 0.3581 0.6419 0.9439  1 Au 2.76, 2 Ho 3.07
Te 0.0929 0.9071 0.7500  2 Au 2.80, 2 Ho 3.12
Te 0.6419 0.3581 0.4439  1 Au 2.76, 2 Ho 3.07
Te 0.9071 0.0929 0.2500  2 Au 2.80, 2 Ho 3.12
Te 0.3581 0.6419 0.5561  1 Au 2.76, 2 Ho 3.07
Te 0.6419 0.3581 0.0561  1 Au 2.76, 2 Ho 3.07
Ho 0.0000 0.0000 0.0000  6 Te 3.07-3.12
Ho 0.0000 0.0000 0.5000  6 Te 3.07-3.12
Au 0.4706 0.5294 0.7500  4 Te 2.76-2.80
Au 0.5294 0.4706 0.2500  4 Te 2.76-2.80

Summary:
* total moment: 0.0 μB per formula unit
* uncorrected energy: -47.2 eV/cell

***

No. 8
The following is a PBE calculation of a relaxed structure of SmCd, from OQMD.

Cell lengths 4.8514, 4.8514, 4.8514 Å; angles 60.00, 60.00, 60.00 degrees
Closest atoms and distances in Å follow each position.
Element x y z (fractional)
Sm 0.2500 0.2500 0.2500  4 Cd 2.97
Cd 0.0000 0.0000 0.0000  4 Sm 2.97

Summary:
* ΔE_f: 668 meV per atom
* total moment: 0.1 μB per formula unit

***

No. 9
The following is a PBE calculation of a relaxed structure of DyAl3Cl12, from OQMD.

Cell lengths 10.5061, 10.5061, 15.6262 Å; angles 90.00, 90.00, 120.00 degrees
Closest atoms and distances in Å follow each position.
Element x y z (fractional)
Cl 0.2173 0.8724 0.7233  1 Al 2.22
Cl 0.7951 0.5978 0.2806  1 Al 2.16
Cl 0.4977 0.3341 0.1829  1 Al 2.15
Cl 0.1276 0.3449 0.0567  1 Al 2.22
Cl 0.5043 0.6664 0.2003  1 Al 2.23
Cl 0.1621 0.4957 0.8669  1 Al 2.23
Cl 0.3336 0.8379 0.5336  1 Al 2.23
Cl 0.6659 0.1636 0.5162  1 Al 2.15
Cl 0.6659 0.5023 0.4838  1 Al 2.15
Cl 0.4022 0.2049 0.3861  1 Al 2.16
Cl 0.4022 0.1973 0.6139  1 Al 2.16
Cl 0.0190 0.4900 0.3786  1 Al 2.10
Cl 0.2173 0.3449 0.2767  1 Al 2.22
Cl 0.6551 0.8724 0.6100  1 Al 2.22
Cl 0.1597 0.0030 0.1251  1 Al 2.10
Cl 0.1276 0.7827 0.9433  1 Al 2.22
Cl 0.5043 0.8379 0.7997  1 Al 2.23
Cl 0.4710 0.9810 0.0452  1 Al 2.10
Cl 0.8433 0.0030 0.2083  1 Al 2.10
Cl 0.0190 0.5290 0.6214  1 Al 2.10
Cl 0.8364 0.5023 0.8496  1 Al 2.15
Cl 0.5100 0.9810 0.2881  1 Al 2.10
Cl 0.8027 0.5978 0.0528  1 Al 2.16
Cl 0.4977 0.1636 0.8171  1 Al 2.15
Cl 0.6551 0.7827 0.3900  1 Al 2.22
Cl 0.7951 0.1973 0.7194  1 Al 2.16
Cl 0.8433 0.8403 0.7917  1 Al 2.10
Cl 0.3336 0.4957 0.4664  1 Al 2.23
Cl 0.8027 0.2049 0.9472  1 Al 2.16
Cl 0.1621 0.6664 0.1331  1 Al 2.23
Cl 0.9970 0.8403 0.5416  1 Al 2.10
Cl 0.5100 0.5290 0.7119  1 Al 2.10
Cl 0.4710 0.4900 0.9548  1 Al 2.10
Cl 0.8364 0.3341 0.1504  1 Al 2.15
Cl 0.9970 0.1567 0.4584  1 Al 2.10
Cl 0.1597 0.1567 0.8749  1 Al 2.10
Al 0.6373 0.7571 0.7322  4 Cl 2.10-2.23
Al 0.7320 0.2680 0.8333  4 Cl 2.15-2.16
Al 0.1198 0.3627 0.3989  4 Cl 2.10-2.23
Al 0.5361 0.2680 0.5000  4 Cl 2.15-2.16
Al 0.7320 0.4639 0.1667  4 Cl 2.15-2.16
Al 0.2429 0.8802 0.0655  4 Cl 2.10-2.23
Al 0.2429 0.3627 0.9345  4 Cl 2.10-2.23
Al 0.1198 0.7571 0.6011  4 Cl 2.10-2.23
Al 0.6373 0.8802 0.2678  4 Cl 2.10-2.23
Dy 0.5026 0.0051 0.6667  8 Cl 2.73-2.90
Dy 0.9949 0.4974 0.0000  8 Cl 2.73-2.90
Dy 0.5026 0.4974 0.3333  8 Cl 2.73-2.90

Summary:
* total moment: 0.0 μB per formula unit
* uncorrected energy: -195.9 eV/cell